Entry from the Alexandria database: an optimized crystal structure of BaCuSnMo2 (GGA-PBE).

Properties
Polymorph energy (0 for the lowest one), meV/atom: 0

a b c (Å): 4.775 4.775 5.541
angles (deg): 90.00 90.00 90.00
Space group P4/mmm (No. 123)
Unique sites:
1 Ba 0.000 0.000 0.000 [1 per cell]
2 Cu 0.000 0.000 0.500 [1 per cell]
3 Sn 0.500 0.500 0.000 [1 per cell]
4 Mo 0.000 0.500 0.500 [2 per cell]

---

Entry from the Alexandria database: an optimized crystal structure of BaCaEuLu (GGA-PBE).

a b c (Å): 8.732 8.732 8.732
angles (deg): 90.00 90.00 90.00
Space group F-43m (No. 216)
Unique sites:
1 Ba 0.000 0.000 0.000 [4 per cell]
2 Ca 0.250 0.250 0.750 [4 per cell]
3 Eu 0.250 0.250 0.250 [4 per cell]
4 Lu 0.000 0.000 0.500 [4 per cell]

---

The E_form results, record by record, are as follows: 1350 193 meV per atom.